Entry 1:
Entry from Alexandria: a relaxed structure of Nd2Er4In (GGA-PBE).

Computed properties:
E   -4.41 eV/atom
ΔE to the lowest computed polymorph   1.4 kJ per mole of atoms
Space-group type   No. 53
DOS(E_F)   16.6 states/eV/cell
Energy of formation from the pure elements   -52 meV per atom
V   31.0 Å³/atom

a = 6.494 Å, b = 6.253 Å, c = 10.678 Å
α = 90.00°, β = 90.00°, γ = 90.00°
Fractional positions:
1 Nd 0.000 0.243 0.044
2 Nd 0.000 0.757 0.956
3 Nd 0.500 0.243 0.456
4 Nd 0.500 0.757 0.544
5 Er 0.000 0.067 0.345
6 Er 0.000 0.933 0.655
7 Er 0.250 0.400 0.750
8 Er 0.250 0.600 0.250
9 Er 0.500 0.067 0.155
10 Er 0.500 0.933 0.845
11 Er 0.750 0.400 0.750
12 Er 0.750 0.600 0.250
13 In 0.000 0.500 0.500
14 In 0.500 0.500 0.000

***

Entry 2:
Entry from Alexandria: a relaxed structure of Dy3Er2Th2 (GGA-PBE).

Computed properties:
E   -5.26 eV/atom
ΔE to the lowest computed polymorph   9.9 kJ per mole of atoms
Space-group type   No. 12
DOS(E_F)   21.4 states/eV/cell
Energy of formation from the pure elements   138 meV per atom
V   31.8 Å³/atom

a = 17.340 Å, b = 3.439 Å, c = 8.550 Å
α = 90.00°, β = 119.06°, γ = 90.00°
Fractional positions:
1 Dy 0.000 0.000 0.000
2 Dy 0.215 0.000 0.131
3 Dy 0.285 0.500 0.869
4 Dy 0.500 0.500 0.000
5 Dy 0.715 0.500 0.131
6 Dy 0.785 0.000 0.869
7 Er 0.063 0.500 0.721
8 Er 0.437 0.000 0.279
9 Er 0.563 0.000 0.721
10 Er 0.937 0.500 0.279
11 Th 0.151 0.000 0.459
12 Th 0.349 0.500 0.541
13 Th 0.651 0.500 0.459
14 Th 0.849 0.000 0.541